i) 12
Lattice="13.950 0.000 0.000 0.000 5.271 0.000 0.000 0.000 4.941" Properties=species:S:1:pos:R:3 comment="PBE CsWAu, relaxed" space_group="Pnma, No. 62" pbc="T T T"
Cs 3.200 1.318 0.016
Cs 3.775 3.953 2.487
Cs 10.175 1.318 2.454
Cs 10.750 3.953 4.925
W 0.011 1.318 2.471
W 6.964 3.953 0.000
W 6.986 1.318 4.940
W 13.939 3.953 2.470
Au 0.000 0.000 0.000
Au 0.000 2.636 0.000
Au 6.975 0.000 2.470
Au 6.975 2.636 2.470



ii) 12
Lattice="11.565 0.000 0.000 0.000 3.307 0.000 0.000 0.000 10.350" Properties=species:S:1:pos:R:3 comment="PBE CsWAu, relaxed" space_group="Pnma, No. 62" pbc="T T T"
Cs 2.080 0.827 0.880
Cs 3.703 2.480 6.055
Cs 7.862 0.827 4.296
Cs 9.486 2.480 9.471
W 0.355 0.827 4.368
W 5.428 2.480 9.543
W 6.137 0.827 0.808
W 11.211 2.480 5.983
Au 0.907 0.827 7.788
Au 4.876 2.480 2.613
Au 6.690 0.827 7.737
Au 10.658 2.480 2.562



Referenced to the most stable arrangement, the calculated values in meV/atom are i) 58; ii) 0.



i) 5
Lattice="5.759 0.000 0.000 0.000 5.759 0.000 0.000 0.000 5.759" Properties=species:S:1:pos:R:3 comment="PBE CsY3Au, relaxed" space_group="Pm-3m, No. 221" pbc="T T T"
Cs 0.000 0.000 0.000
Y 0.000 2.880 2.880
Y 2.880 0.000 2.880
Y 2.880 2.880 0.000
Au 2.880 2.880 2.880



ii) 5
Lattice="5.540 0.000 0.000 0.000 5.540 0.000 0.000 0.000 5.540" Properties=species:S:1:pos:R:3 comment="PBE CsY3Au, relaxed" space_group="Pm-3m, No. 221" pbc="T T T"
Cs 0.000 0.000 0.000
Y 0.000 0.000 2.770
Y 0.000 2.770 0.000
Y 2.770 0.000 0.000
Au 2.770 2.770 2.770



Referenced to the most stable arrangement, the calculated values in meV/atom are i) 0; ii) 1221.



i) 16
Lattice="13.414 0.000 0.000 0.000 13.414 0.000 0.000 0.000 5.621" Properties=species:S:1:pos:R:3 comment="PBE Cs2YAu, relaxed" space_group="I-42d, No. 122" pbc="T T T"
Cs 1.364 3.353 0.703
Cs 3.353 8.070 2.108
Cs 3.353 12.050 4.918
Cs 5.343 3.353 3.513
Cs 8.070 10.060 3.513
Cs 10.060 1.364 4.918
Cs 10.060 5.343 2.108
Cs 12.050 10.060 0.703
Y 0.000 0.000 2.810
Y 0.000 6.707 4.216
Y 6.707 0.000 1.405
Y 6.707 6.707 0.000
Au 0.000 0.000 0.000
Au 0.000 6.707 1.405
Au 6.707 0.000 4.216
Au 6.707 6.707 2.810



ii) 16
Lattice="9.123 0.000 0.000 0.000 9.123 0.000 0.000 0.000 9.123" Properties=species:S:1:pos:R:3 comment="PBE Cs2YAu, relaxed" space_group="Fm-3m, No. 225" pbc="T T T"
Cs 2.281 2.281 2.281
Cs 2.281 2.281 6.842
Cs 2.281 6.842 2.281
Cs 2.281 6.842 6.842
Cs 6.842 2.281 2.281
Cs 6.842 2.281 6.842
Cs 6.842 6.842 2.281
Cs 6.842 6.842 6.842
Y 0.000 0.000 0.000
Y 0.000 4.561 4.561
Y 4.561 0.000 4.561
Y 4.561 4.561 0.000
Au 0.000 0.000 4.561
Au 0.000 4.561 0.000
Au 4.561 0.000 0.000
Au 4.561 4.561 4.561



Referenced to the most stable arrangement, the calculated values in meV/atom are i) 0; ii) 425.